Entry 1:
NiTe2MoPd: relaxed, GGA-PBE.

Computed properties:
- ρ: 6953 kg/m³
- Total moment: 0.0 μB/cell
- Space-group type: No. 123
- ΔE_f (raw): 0.8511 eV/atom
- Crystal system: tetragonal

a b c (Å): 5.178 5.178 4.599
angles (deg): 90.00 90.00 90.00
Fractional coordinates of all 5 atoms:
1 Ni 0.000 0.000 0.000
2 Te 0.000 0.500 0.500
3 Te 0.500 0.000 0.500
4 Mo 0.000 0.000 0.500
5 Pd 0.500 0.500 0.000

---

Entry 2:
PmNiMo: relaxed, GGA-PBE.

Computed properties:
- ρ: 8612 kg/m³
- Total moment: 0.0 μB/cell
- ΔE_f: 0.50 eV/f.u.
- Space-group type: No. 65
- Crystal system: orthorhombic

a b c (Å): 3.365 3.365 10.207
angles (deg): 90.00 90.00 90.10
Fractional coordinates of all 6 atoms:
1 Pm 0.000 0.000 0.173
2 Pm 0.000 0.000 0.827
3 Ni 0.000 0.000 0.500
4 Ni 0.500 0.500 0.000
5 Mo 0.500 0.500 0.387
6 Mo 0.500 0.500 0.613

---

Entry 3:
NiMo2Pt: relaxed, GGA-PBE.

Computed properties:
- ρ: 12611 kg/m³
- Total moment: 0.0 μB/cell
- ΔE_f: 0.23 eV/f.u.
- Space-group type: No. 166
- Crystal system: trigonal

a b c (Å): 9.177 9.177 9.177
angles (deg): 17.16 17.16 17.16
Fractional coordinates of all 4 atoms:
1 Ni 0.000 0.000 0.000
2 Mo 0.254 0.254 0.254
3 Mo 0.746 0.746 0.746
4 Pt 0.500 0.500 0.500

---

Entry 4:
Ni4MoPt2: relaxed, GGA-PBE.

Computed properties:
- ρ: 12007 kg/m³
- Total moment: 0.0 μB/cell
- ΔE_f: 3.39 eV/f.u.
- Space-group type: No. 139
- Crystal system: tetragonal

a b c (Å): 5.707 5.707 5.707
angles (deg): 132.31 132.31 69.73
Fractional coordinates of all 7 atoms:
1 Ni 0.000 0.500 0.500
2 Ni 0.250 0.750 0.500
3 Ni 0.500 0.000 0.500
4 Ni 0.750 0.250 0.500
5 Mo 0.000 0.000 0.000
6 Pt 0.357 0.357 0.000
7 Pt 0.643 0.643 0.000

---

Entry 5:
Ni5MoPt2: relaxed, GGA-PBE.

Computed properties:
- ρ: 12109 kg/m³
- Total moment: 0.0 μB/cell
- ΔE_f: 0.45 eV/f.u.
- Space-group type: No. 63
- Crystal system: orthorhombic

a b c (Å): 5.131 5.131 11.471
angles (deg): 90.00 90.00 134.93
Fractional coordinates of all 16 atoms:
1 Ni 0.070 0.930 0.595
2 Ni 0.070 0.930 0.905
3 Ni 0.422 0.578 0.581
4 Ni 0.422 0.578 0.919
5 Ni 0.430 0.570 0.250
6 Ni 0.570 0.430 0.750
7 Ni 0.578 0.422 0.081
8 Ni 0.578 0.422 0.419
9 Ni 0.930 0.070 0.095
10 Ni 0.930 0.070 0.405
11 Mo 0.256 0.744 0.750
12 Mo 0.744 0.256 0.250
13 Pt 0.241 0.759 0.092
14 Pt 0.241 0.759 0.408
15 Pt 0.759 0.241 0.592
16 Pt 0.759 0.241 0.908

---

Entry 6:
Ni6MoPt: relaxed, GGA-PBE.

Computed properties:
- ρ: 11055 kg/m³
- Total moment: 0.1 μB/cell
- ΔE_f: -0.39 eV/f.u.
- Space-group type: No. 65
- Crystal system: orthorhombic

a b c (Å): 6.299 6.299 10.339
angles (deg): 90.00 90.00 109.63
Fractional coordinates of all 32 atoms:
1 Ni 0.000 0.000 0.000
2 Ni 0.000 0.000 0.500
3 Ni 0.121 0.368 0.372
4 Ni 0.121 0.368 0.628
5 Ni 0.122 0.373 0.122
6 Ni 0.122 0.373 0.878
7 Ni 0.247 0.753 0.244
8 Ni 0.247 0.753 0.756
9 Ni 0.368 0.121 0.372
10 Ni 0.368 0.121 0.628
11 Ni 0.373 0.122 0.122
12 Ni 0.373 0.122 0.878
13 Ni 0.500 0.500 0.000
14 Ni 0.500 0.500 0.500
15 Ni 0.627 0.878 0.122
16 Ni 0.627 0.878 0.878
17 Ni 0.632 0.879 0.372
18 Ni 0.632 0.879 0.628
19 Ni 0.753 0.247 0.244
20 Ni 0.753 0.247 0.756
21 Ni 0.878 0.627 0.122
22 Ni 0.878 0.627 0.878
23 Ni 0.879 0.632 0.372
24 Ni 0.879 0.632 0.628
25 Mo 0.000 0.000 0.255
26 Mo 0.000 0.000 0.745
27 Mo 0.246 0.754 0.000
28 Mo 0.754 0.246 0.000
29 Pt 0.251 0.749 0.500
30 Pt 0.500 0.500 0.252
31 Pt 0.500 0.500 0.748
32 Pt 0.749 0.251 0.500

---

Entry 7:
NiMoPt6: relaxed, GGA-PBE.

Computed properties:
- ρ: 18185 kg/m³
- Total moment: 0.9 μB/cell
- ΔE_f: -1.55 eV/f.u.
- Space-group type: No. 123
- Crystal system: tetragonal

a b c (Å): 3.938 3.938 7.802
angles (deg): 90.00 90.00 90.00
Fractional coordinates of all 8 atoms:
1 Ni 0.000 0.000 0.000
2 Mo 0.000 0.000 0.500
3 Pt 0.000 0.500 0.250
4 Pt 0.000 0.500 0.750
5 Pt 0.500 0.000 0.250
6 Pt 0.500 0.000 0.750
7 Pt 0.500 0.500 0.000
8 Pt 0.500 0.500 0.500

---

Entry 8:
Ni4MoPt: relaxed, GGA-PBE.

Computed properties:
- ρ: 11906 kg/m³
- Total moment: 0.0 μB/cell
- ΔE_f: -0.75 eV/f.u.
- Space-group type: No. 216
- Crystal system: cubic

a b c (Å): 4.698 4.698 4.698
angles (deg): 60.00 60.00 60.00
Fractional coordinates of all 6 atoms:
1 Ni 0.125 0.125 0.125
2 Ni 0.125 0.125 0.624
3 Ni 0.125 0.624 0.125
4 Ni 0.624 0.125 0.125
5 Mo 0.500 0.500 0.500
6 Pt 0.750 0.750 0.750